(1)
# PBE BeMoIrAu, optimized geometry
# Electronic total energy   -6.519 eV/atom
# Volume   58.25 Å³/f.u.
# Excess energy over the best structure of this formula in the dataset   0 meV per atom
data_BeMoIrAu
_chemical_formula_sum 'Be4 Mo4 Ir4 Au4'
_cell_length_a 6.1536
_cell_length_b 6.1536
_cell_length_c 6.1536
_cell_angle_alpha 90.00
_cell_angle_beta 90.00
_cell_angle_gamma 90.00
_symmetry_space_group_name_H-M 'F -4 3 m'
_symmetry_Int_Tables_number 216
_symmetry_space_group_name_Hall 'F -4 2 3'
loop_
_atom_site_label
_atom_site_fract_x
_atom_site_fract_y
_atom_site_fract_z
_atom_site_occupancy
Be1 0.0000 0.0000 0.0000 1
Mo1 0.2500 0.2500 0.7500 1
Ir1 0.0000 0.0000 0.5000 1
Au1 0.2500 0.2500 0.2500 1

---

(2)
# PBE NbCuAu2, optimized geometry
# Electronic total energy   -5.058 eV/atom
# Volume   65.93 Å³/f.u.
# ΔH_f (0 K)   0.028 eV per atom
data_NbCuAu2
_chemical_formula_sum 'Nb4 Cu4 Au8'
_cell_length_a 6.4126
_cell_length_b 6.4126
_cell_length_c 6.4126
_cell_angle_alpha 90.00
_cell_angle_beta 90.00
_cell_angle_gamma 90.00
_symmetry_space_group_name_H-M 'F -4 3 m'
_symmetry_Int_Tables_number 216
_symmetry_space_group_name_Hall 'F -4 2 3'
loop_
_atom_site_label
_atom_site_fract_x
_atom_site_fract_y
_atom_site_fract_z
_atom_site_occupancy
Nb1 0.0000 0.0000 0.0000 1
Cu1 0.2500 0.2500 0.2500 1
Au1 0.0000 0.0000 0.5000 1
Au2 0.2500 0.2500 0.7500 1

---

(3)
# PBE TbPr2Sn3PdPt2, optimized geometry
# Electronic total energy   -5.845 eV/atom
# Volume   208.82 Å³/f.u.
data_TbPr2Sn3PdPt2
_chemical_formula_sum 'Tb2 Pr4 Sn6 Pd2 Pt4'
_cell_length_a 4.1194
_cell_length_b 13.2385
_cell_length_c 7.6582
_cell_angle_alpha 90.00
_cell_angle_beta 90.00
_cell_angle_gamma 90.00
_symmetry_space_group_name_H-M 'A m m 2'
_symmetry_Int_Tables_number 38
loop_
_symmetry_equiv_pos_as_xyz
'x,y,z'
'-x,-y,z'
'-x,y,z'
'x,-y,z'
'x,y+1/2,z+1/2'
'-x,-y+1/2,z+1/2'
'-x,y+1/2,z+1/2'
'x,-y+1/2,z+1/2'
loop_
_atom_site_label
_atom_site_fract_x
_atom_site_fract_y
_atom_site_fract_z
_atom_site_occupancy
Tb1 0.0000 0.0000 0.0000 1
Pr1 0.0000 0.2059 0.6158 1
Sn1 0.5000 0.0000 0.6639 1
Sn2 0.5000 0.1254 0.2809 1
Pd1 0.0000 0.0000 0.4045 1
Pt1 0.5000 0.1618 0.9120 1

---

(4)
# PBE DyBePt, optimized geometry
# Electronic total energy   -5.224 eV/atom
# Volume   55.44 Å³/f.u.
# Excess energy over the best structure of this formula in the dataset   28 meV per atom
data_DyBePt
_chemical_formula_sum 'Dy4 Be4 Pt4'
_cell_length_a 6.0528
_cell_length_b 6.0528
_cell_length_c 6.0528
_cell_angle_alpha 90.00
_cell_angle_beta 90.00
_cell_angle_gamma 90.00
_symmetry_space_group_name_H-M 'F -4 3 m'
_symmetry_Int_Tables_number 216
_symmetry_space_group_name_Hall 'F -4 2 3'
loop_
_atom_site_label
_atom_site_fract_x
_atom_site_fract_y
_atom_site_fract_z
_atom_site_occupancy
Dy1 0.0000 0.0000 0.0000 1
Be1 0.2500 0.2500 0.2500 1
Pt1 0.0000 0.0000 0.5000 1

---

(5)
# PBE Pr2Nd2CICl4, optimized geometry
# Electronic total energy   -5.299 eV/atom
# Volume   306.16 Å³/f.u.
data_Pr2Nd2CICl4
_chemical_formula_sum 'Pr4 Nd4 C2 I2 Cl8'
_cell_length_a 17.7913
_cell_length_b 3.9948
_cell_length_c 8.8834
_cell_angle_alpha 90.00
_cell_angle_beta 104.11
_cell_angle_gamma 90.00
_symmetry_space_group_name_H-M 'C 1 2/m 1'
_symmetry_Int_Tables_number 12
loop_
_symmetry_equiv_pos_as_xyz
'x,y,z'
'-x,-y,-z'
'-x,y,-z'
'x,-y,z'
'x+1/2,y+1/2,z'
'-x+1/2,-y+1/2,-z'
'-x+1/2,y+1/2,-z'
'x+1/2,-y+1/2,z'
loop_
_atom_site_label
_atom_site_fract_x
_atom_site_fract_y
_atom_site_fract_z
_atom_site_occupancy
Pr1 0.0016 0.0000 0.3037 1
Nd1 0.1451 0.5000 0.5773 1
C1 0.0000 0.5000 0.5000 1
I1 0.0000 0.5000 0.0000 1
Cl1 0.1648 0.0000 0.8067 1
Cl2 0.1721 0.0000 0.3632 1

---

(6)
# PBE TbTcBi, optimized geometry
# Electronic total energy   -5.963 eV/atom
# Volume   79.44 Å³/f.u.
data_TbTcBi
_chemical_formula_sum 'Tb4 Tc4 Bi4'
_cell_length_a 6.8238
_cell_length_b 6.8238
_cell_length_c 6.8238
_cell_angle_alpha 90.00
_cell_angle_beta 90.00
_cell_angle_gamma 90.00
_symmetry_space_group_name_H-M 'F -4 3 m'
_symmetry_Int_Tables_number 216
_symmetry_space_group_name_Hall 'F -4 2 3'
loop_
_atom_site_label
_atom_site_fract_x
_atom_site_fract_y
_atom_site_fract_z
_atom_site_occupancy
Tb1 0.0000 0.0000 0.0000 1
Tc1 0.0000 0.0000 0.5000 1
Bi1 0.2500 0.2500 0.2500 1

---

(7)
# PBE Rb2PuAg2S4, optimized geometry
# Electronic total energy   -5.094 eV/atom
# Volume   265.96 Å³/f.u.
data_Rb2PuAg2S4
_chemical_formula_sum 'Rb4 Pu2 Ag4 S8'
_cell_length_a 6.3194
_cell_length_b 13.3386
_cell_length_c 6.3106
_cell_angle_alpha 90.00
_cell_angle_beta 90.00
_cell_angle_gamma 90.00
_symmetry_space_group_name_H-M 'C 2 2 2'
_symmetry_Int_Tables_number 21
loop_
_symmetry_equiv_pos_as_xyz
'x,y,z'
'-x,-y,z'
'x,-y,-z'
'-x,y,-z'
'x+1/2,y+1/2,z'
'-x+1/2,-y+1/2,z'
'x+1/2,-y+1/2,-z'
'-x+1/2,y+1/2,-z'
loop_
_atom_site_label
_atom_site_fract_x
_atom_site_fract_y
_atom_site_fract_z
_atom_site_occupancy
Rb1 0.2500 0.2500 0.2291 1
Pu1 0.0000 0.0000 0.5000 1
Ag1 0.0000 0.0000 0.0000 1
Ag2 0.0000 0.5000 0.5000 1
S1 0.2392 0.1043 0.7395 1

---

(8)
# PBE LuGaCuNi, optimized geometry
# Electronic total energy   -4.490 eV/atom
# Volume   62.59 Å³/f.u.
# Excess energy over the best structure of this formula in the dataset   130 meV per atom
data_LuGaCuNi
_chemical_formula_sum 'Lu4 Ga4 Cu4 Ni4'
_cell_length_a 6.3025
_cell_length_b 6.3025
_cell_length_c 6.3025
_cell_angle_alpha 90.00
_cell_angle_beta 90.00
_cell_angle_gamma 90.00
_symmetry_space_group_name_H-M 'F -4 3 m'
_symmetry_Int_Tables_number 216
_symmetry_space_group_name_Hall 'F -4 2 3'
loop_
_atom_site_label
_atom_site_fract_x
_atom_site_fract_y
_atom_site_fract_z
_atom_site_occupancy
Lu1 0.0000 0.0000 0.0000 1
Ga1 0.2500 0.2500 0.2500 1
Cu1 0.2500 0.2500 0.7500 1
Ni1 0.0000 0.0000 0.5000 1

---

- Which of these has the lowest volume?
  DyBePt